# KIn3H

A geometry-optimized KIn3H structure (PBE-GGA, Alexandria via LeMat-Bulk).

a = 5.0170 Å, b = 5.0170 Å, c = 5.0170 Å
α = 90.00°, β = 90.00°, γ = 90.00°
Sites, in units of the cell vectors:
K  0.0000  0.0000  0.0000
In  0.0000  0.5000  0.5000
In  0.5000  0.0000  0.5000
In  0.5000  0.5000  0.0000
H  0.5000  0.5000  0.5000

---

# K2InH

A geometry-optimized K2InH structure (PBE-GGA, Alexandria via LeMat-Bulk).

a = 5.8523 Å, b = 5.8523 Å, c = 5.8523 Å
α = 60.00°, β = 60.00°, γ = 60.00°
Sites, in units of the cell vectors:
K  0.2500  0.2500  0.2500
K  0.7500  0.7500  0.7500
In  0.0000  0.0000  0.0000
H  0.5000  0.5000  0.5000

- energy relative to the lowest polymorph listed for this composition (meV/atom) = 335

---

# KIn2H

A geometry-optimized KIn2H structure (PBE-GGA, Alexandria via LeMat-Bulk).

a = 6.7537 Å, b = 6.7537 Å, c = 6.7537 Å
α = 117.09°, β = 117.09°, γ = 95.11°
Sites, in units of the cell vectors:
K  0.0000  0.0000  0.0000
K  0.7500  0.2500  0.5000
In  0.3123  0.6250  0.1873
In  0.3750  0.5623  0.6873
In  0.4377  0.1250  0.8127
In  0.8750  0.6877  0.3127
H  0.2500  0.7500  0.5000
H  0.5000  0.5000  0.0000

- energy relative to the lowest polymorph listed for this composition (meV/atom) = 0

---

Number 1: raw total energy -2.32 eV per atom. Number 2: raw total energy -1.68 eV per atom. Number 3: raw total energy -2.26 eV per atom.